[1]
## NbP2H (PBE)

Data for NbP2H after structural relaxation.

Cell lengths 5.7407, 5.7407, 5.0175 Å; angles 55.11, 55.11, 90.00 degrees
Element x y z (fractional)
Nb: 0.0000 0.0000 0.0000
Nb: 0.7500 0.2500 0.5000
H: 0.2500 0.7500 0.5000
P: 0.5270 0.1250 0.2500
P: 0.8750 0.7770 0.7500
H: 0.5000 0.5000 0.0000
P: 0.2230 0.6250 0.2500
P: 0.3750 0.4730 0.7500

Output
The spin magnetization comes out at 0.00 μB/f.u. The value obtained for the energy relative to the lowest polymorph listed for this composition is 0.000 eV per atom. Its space group is I-42d, No. 122.

[2]
## NbPH (PBE)

Data for NbPH after structural relaxation.

Cell lengths 3.4308, 3.4308, 3.3637 Å; angles 90.00, 90.00, 120.00 degrees
Element x y z (fractional)
Nb: 0.0000 0.0000 0.0000
H: 0.3333 0.6667 0.0000
P: 0.6667 0.3333 0.5000

Output
The spin magnetization comes out at 0.00 μB/f.u. The value obtained for the energy relative to the lowest polymorph listed for this composition is 0.000 eV per atom. Its space group is P-6m2, No. 187.

[3]
## NbP2H (PBE)

Data for NbP2H after structural relaxation.

Cell lengths 4.2610, 4.2610, 4.2610 Å; angles 60.00, 60.00, 60.00 degrees
Element x y z (fractional)
P: 0.7500 0.7500 0.7500
P: 0.2500 0.2500 0.2500
Nb: 0.5000 0.5000 0.5000
H: 0.0000 0.0000 0.0000

Output
The spin magnetization comes out at 0.00 μB/f.u. The value obtained for the energy relative to the lowest polymorph listed for this composition is 0.404 eV per atom. Its space group is Fm-3m, No. 225.

[4]
## NbPH (PBE)

Data for NbPH after structural relaxation.

Cell lengths 6.5258, 4.7049, 4.8782 Å; angles 90.84, 90.00, 90.00 degrees
Element x y z (fractional)
P: 0.9567 0.8622 0.2335
H: 0.8054 0.3881 0.4246
Nb: 0.6055 0.6297 0.2389
P: 0.0433 0.1378 0.7665
H: 0.6946 0.3881 0.9246
Nb: 0.3945 0.3703 0.7611
Nb: 0.1055 0.3703 0.2611
H: 0.3054 0.6119 0.0754
P: 0.4567 0.1378 0.2665
P: 0.5433 0.8622 0.7335
H: 0.1946 0.6119 0.5754
Nb: 0.8945 0.6297 0.7389

Output
The spin magnetization comes out at 0.00 μB/f.u. The value obtained for the energy relative to the lowest polymorph listed for this composition is 0.160 eV per atom. Its space group is P2_1/c, No. 14.

[5]
## NbP2H2 (PBE)

Data for NbP2H2 after structural relaxation.

Cell lengths 3.9926, 3.9926, 4.5269 Å; angles 63.83, 63.83, 90.00 degrees
Element x y z (fractional)
P: 0.2500 0.7500 0.5000
P: 0.7500 0.2500 0.5000
H: 0.4454 0.4454 0.1092
H: 0.5546 0.5546 0.8908
Nb: 0.0000 0.0000 0.0000

Output
The spin magnetization comes out at 0.00 μB/f.u. The value obtained for the energy relative to the lowest polymorph listed for this composition is 0.033 eV per atom. Its space group is I4/mmm, No. 139.

[6]
## NbP2H2 (PBE)

Data for NbP2H2 after structural relaxation.

Cell lengths 5.6454, 5.6454, 3.2137 Å; angles 90.00, 90.00, 90.00 degrees
Element x y z (fractional)
P: 0.6378 0.8622 0.5000
H: 0.6594 0.1594 0.0000
H: 0.8406 0.6594 0.0000
P: 0.1378 0.6378 0.5000
Nb: 0.5000 0.5000 0.0000
Nb: 0.0000 0.0000 0.0000
H: 0.1594 0.3406 0.0000
P: 0.3622 0.1378 0.5000
H: 0.3406 0.8406 0.0000
P: 0.8622 0.3622 0.5000

Output
The spin magnetization comes out at 0.00 μB/f.u. The value obtained for the energy relative to the lowest polymorph listed for this composition is 0.000 eV per atom. Its space group is P4/mbm, No. 127.

[7]
## NbPHPd2 (PBE)

Data for NbPHPd2 after structural relaxation.

Cell lengths 3.7440, 4.6833, 3.7440 Å; angles 90.00, 90.00, 90.00 degrees
Element x y z (fractional)
Pd: 0.0000 0.0000 0.5000
H: 0.0000 0.0000 0.0000
P: 0.0000 0.5000 0.0000
Nb: 0.5000 0.5000 0.5000
Pd: 0.5000 0.0000 0.0000

Output
The spin magnetization comes out at 0.00 μB/f.u. Its space group is P4/mmm, No. 123.

[8]
## Nb2RePH (PBE)

Data for Nb2RePH after structural relaxation.

Cell lengths 3.8652, 4.4400, 3.8652 Å; angles 90.00, 90.00, 90.00 degrees
Element x y z (fractional)
Nb: 0.5000 0.0000 0.0000
H: 0.0000 0.0000 0.0000
Nb: 0.0000 0.0000 0.5000
Re: 0.5000 0.5000 0.5000
P: 0.0000 0.5000 0.0000

Output
The spin magnetization comes out at 0.00 μB/f.u. Its space group is P4/mmm, No. 123.

Number 1: final energy -0.44214 Ry per atom. Number 2: final energy -0.50452 Ry per atom. Number 3: final energy -0.41246 Ry per atom. Number 4: final energy -0.49274 Ry per atom. Number 5: final energy -0.39321 Ry per atom. Number 6: final energy -0.39560 Ry per atom. Number 7: final energy -0.43628 Ry per atom. Number 8: final energy -0.59326 Ry per atom.